(1)
Computed, not measured: Nd2Al4SiPt3 after structural relaxation at the PBE level of DFT.

Values from the calculation:
E_tot: -57.80 eV per formula unit
Symmetry: P-4m2, No. 115
ΔE_f (raw): -9.7 eV/f.u.
Total moment: 0.0000 μB per atom

POSCAR file:
```
Nd2Al4SiPt3
1.0
4.300 0.000 0.000
0.000 4.300 0.000
0.000 0.000 10.380
Nd Al Si Pt
2 4 1 3
direct
0.500 0.000 0.253 Nd
0.000 0.500 0.747 Nd
0.500 0.500 0.000 Al
0.000 0.000 0.000 Al
0.500 0.000 0.634 Al
0.000 0.500 0.366 Al
0.500 0.500 0.500 Si
0.000 0.000 0.500 Pt
0.500 0.000 0.871 Pt
0.000 0.500 0.129 Pt
```

=====

(2)
Computed, not measured: HgMo3N after structural relaxation at the PBE level of DFT.

Values from the calculation:
E_tot: -23.27 eV per formula unit
Symmetry: Pm-3m, No. 221
ΔE_f (raw): 17.9 eV/f.u.
Total moment: 1.8578 μB per atom

POSCAR file:
```
HgMo3N
1.0
-0.586 -2.312 -4.687
-2.698 -3.906 2.264
-4.476 2.657 -0.751
Mo Hg N
3 1 1
direct
0.000 0.500 0.000 Mo
0.000 0.000 0.500 Mo
0.500 0.000 0.000 Mo
0.000 0.000 0.000 Hg
0.500 0.500 0.500 N
```